DFT (GGA+U) results for a relaxed structure of Mo2IF.

```
Mo2IF
1.0
-3.941 0.807 -2.329
-2.460 -1.016 3.811
-2.939 7.533 2.945
I Mo F
2 4 2
Cartesian
0.000 0.000 0.000
-5.040 4.118 0.679
-3.055 2.168 0.023
-3.215 1.442 2.561
-4.886 5.455 3.200
-7.524 5.583 3.070
-3.200 -0.104 0.741
-4.300 3.206 3.748
```

Calculated values
Its space group is I-42d, No. 122. The calculation puts the volume at 21.48 Å³ per atom. The value obtained for the total magnetization is 4.00 μB per cell. The electronic total energy is -3.632 eV/atom.